Sc2Hg | PBEsol | optimized geometry

Summary:
The calculation puts the total energy at -5.00 eV/atom.

a b c (Å): 9.0654 9.0654 9.0654
angles (deg): 60.00 60.00 60.00
Fractional coordinates of all 24 atoms:
1 Hg 0.4063 0.7810 0.4063
2 Hg 0.4063 0.4063 0.7810
3 Hg 0.7810 0.4063 0.4063
4 Hg 0.8437 0.8437 0.4690
5 Hg 0.8437 0.4690 0.8437
6 Hg 0.4063 0.4063 0.4063
7 Hg 0.4690 0.8437 0.8437
8 Hg 0.8437 0.8437 0.8437
9 Sc 0.1863 0.8137 0.8137
10 Sc 0.6250 0.6250 0.1250
11 Sc 0.4363 0.0637 0.4363
12 Sc 0.4363 0.0637 0.0637
13 Sc 0.1250 0.6250 0.6250
14 Sc 0.0637 0.4363 0.4363
15 Sc 0.8137 0.1863 0.1863
16 Sc 0.8137 0.1863 0.8137
17 Sc 0.0637 0.4363 0.0637
18 Sc 0.6250 0.6250 0.6250
19 Sc 0.1863 0.1863 0.8137
20 Sc 0.4363 0.4363 0.0637
21 Sc 0.1863 0.8137 0.1863
22 Sc 0.6250 0.1250 0.6250
23 Sc 0.0637 0.0637 0.4363
24 Sc 0.8137 0.8137 0.1863

---

AlCr2OsBr | PBEsol | optimized geometry

Summary:
The raw formation energy is 2.23 eV per atom.

a b c (Å): 4.6859 4.7465 4.7465
angles (deg): 90.00 90.00 90.00
Each line ends with the local moment (μB).
Fractional coordinates of all 5 atoms:
1 Cr 0.0000 0.5000 0.0000  3.39
2 Cr 0.0000 0.0000 0.5000  3.39
3 Al 0.0000 0.0000 0.0000  -0.03
4 Br 0.5000 0.0000 0.0000  0.15
5 Os 0.5000 0.5000 0.5000  1.43

---

Be3Mo | PBEsol | optimized geometry

Summary:
The calculation puts the offset from the most stable computed form at 0.00 eV/f.u.

a b c (Å): 3.4069 3.4069 3.4069
angles (deg): 90.00 90.00 90.00
Fractional coordinates of all 4 atoms:
1 Be 0.0000 0.5000 0.5000
2 Be 0.5000 0.5000 0.0000
3 Be 0.5000 0.0000 0.5000
4 Mo 0.0000 0.0000 0.0000

---

MgIn2 | PBEsol | optimized geometry

Summary:
The calculation puts the total energy at -2.61 eV/atom.

a b c (Å): 5.7442 5.7442 6.0287
angles (deg): 61.55 61.55 60.00
Fractional coordinates of all 6 atoms:
1 In 0.5000 0.8254 0.5000
2 In 0.0000 0.0000 0.0000
3 In 0.1746 0.5000 0.5000
4 In 0.8254 0.1746 0.5000
5 Mg 0.3303 0.3303 0.0091
6 Mg 0.6697 0.6697 0.9909